No. 1
A plane-wave DFT calculation with PBE was carried out for MnInSi3 after structural relaxation.

N(E_F): 2.82 states/eV/cell
Energy relative to the elements, uncorrected: 0.311 eV per atom
Magnetization: 1.28 Bohr magnetons per cell
Total energy: -26.62 eV/cell

```
data_MnInSi3
_space_group_name_H-M_alt 'P 1'
_space_group_IT_number 1
_cell_length_a 4.516
_cell_length_b 4.516
_cell_length_c 4.516
_cell_angle_alpha 90.00
_cell_angle_beta 90.00
_cell_angle_gamma 90.00
loop_
_space_group_symop_operation_xyz
'x,y,z'
loop_
_atom_site_label
_atom_site_fract_x
_atom_site_fract_y
_atom_site_fract_z
Mn1 0.000 0.000 0.000
In1 0.500 0.500 0.500
Si1 0.000 0.000 0.500
Si2 0.000 0.500 0.000
Si3 0.500 0.000 0.000
```


No. 2
A plane-wave DFT calculation with PBE was carried out for Ta2AsPb after structural relaxation.

E_form: 0.58 eV per atom
N(E_F): 7.03 states/eV/cell
Magnetization: 0.00 Bohr magnetons per cell
Total energy: -59.46 eV/cell

```
data_Ta2AsPb
_space_group_name_H-M_alt 'P 1'
_space_group_IT_number 1
_cell_length_a 10.369
_cell_length_b 10.369
_cell_length_c 10.369
_cell_angle_alpha 157.02
_cell_angle_beta 157.02
_cell_angle_gamma 32.73
loop_
_space_group_symop_operation_xyz
'x,y,z'
loop_
_atom_site_label
_atom_site_fract_x
_atom_site_fract_y
_atom_site_fract_z
Ta1 0.115 0.625 0.990
Ta2 0.375 0.365 0.490
Ta3 0.635 0.125 0.010
Ta4 0.875 0.885 0.510
As1 0.000 0.000 0.000
As2 0.750 0.250 0.500
Pb1 0.250 0.750 0.500
Pb2 0.500 0.500 0.000
```